# 1
# PBE LaPr2NpAs4, relaxed
# Calculated volume: 27.62 Å³/atom
# ΔH_f (0 K): -1293.3 meV/atom
# Calculated density: 7.2 g cm⁻³
# SG: P2/m, No. 10
# Electronic total energy: -56.4 eV/cell
# M_tot: 3.8 μB per formula unit
data_LaPr2NpAs4
_cell_length_a 4.268
_cell_length_b 7.408
_cell_length_c 7.405
_cell_angle_alpha 109.32
_cell_angle_beta 90.00
_cell_angle_gamma 90.00
_space_group_name_H-M_alt 'P 1'
_space_group_IT_number 1
loop_
_space_group_symop_operation_xyz
'x,y,z'
loop_
_atom_site_label
_atom_site_type_symbol
_atom_site_fract_x
_atom_site_fract_y
_atom_site_fract_z
La1 La 0.500 0.500 0.000
Pr1 Pr 0.500 0.000 0.500
Pr2 Pr 0.000 0.500 0.500
Np1 Np 0.000 0.000 0.000
As1 As 0.500 0.239 0.241
As2 As 0.500 0.761 0.759
As3 As 0.000 0.242 0.755
As4 As 0.000 0.758 0.245



# 2
# PBE La2PrNpAs4, relaxed
# Calculated volume: 27.94 Å³/atom
# ΔH_f (0 K): -1310.7 meV/atom
# Calculated density: 7.1 g cm⁻³
# SG: P2/m, No. 10
# Electronic total energy: -56.7 eV/cell
# M_tot: 3.8 μB per formula unit
data_La2PrNpAs4
_cell_length_a 4.285
_cell_length_b 7.431
_cell_length_c 7.438
_cell_angle_alpha 109.32
_cell_angle_beta 90.00
_cell_angle_gamma 90.00
_space_group_name_H-M_alt 'P 1'
_space_group_IT_number 1
loop_
_space_group_symop_operation_xyz
'x,y,z'
loop_
_atom_site_label
_atom_site_type_symbol
_atom_site_fract_x
_atom_site_fract_y
_atom_site_fract_z
La1 La 0.500 0.000 0.500
La2 La 0.000 0.500 0.500
Pr1 Pr 0.000 0.000 0.000
Np1 Np 0.500 0.500 0.000
As1 As 0.500 0.256 0.242
As2 As 0.500 0.744 0.758
As3 As 0.000 0.261 0.763
As4 As 0.000 0.739 0.237



# 3
# PBE La2NpAs4Pt3, relaxed
# Calculated volume: 21.86 Å³/atom
# ΔH_f (0 K): -840.8 meV/atom
# Calculated density: 10.6 g cm⁻³
# SG: P-4m2, No. 115
# Electronic total energy: -67.9 eV/cell
# M_tot: 4.4 μB per formula unit
data_La2NpAs4Pt3
_cell_length_a 4.485
_cell_length_b 4.485
_cell_length_c 10.871
_cell_angle_alpha 90.00
_cell_angle_beta 90.00
_cell_angle_gamma 90.00
_space_group_name_H-M_alt 'P 1'
_space_group_IT_number 1
loop_
_space_group_symop_operation_xyz
'x,y,z'
loop_
_atom_site_label
_atom_site_type_symbol
_atom_site_fract_x
_atom_site_fract_y
_atom_site_fract_z
La1 La 0.500 0.000 0.227
La2 La 0.000 0.500 0.773
Np1 Np 0.500 0.500 0.500
As1 As 0.500 0.500 0.000
As2 As 0.000 0.000 0.000
As3 As 0.500 0.000 0.659
As4 As 0.000 0.500 0.341
Pt1 Pt 0.000 0.000 0.500
Pt2 Pt 0.500 0.000 0.890
Pt3 Pt 0.000 0.500 0.110



# 4
# PBE La2NpAs4Rh3, relaxed
# Calculated volume: 20.96 Å³/atom
# ΔH_f (0 K): -847.2 meV/atom
# Calculated density: 8.9 g cm⁻³
# SG: P-4m2, No. 115
# Electronic total energy: -71.9 eV/cell
# M_tot: 3.7 μB per formula unit
data_La2NpAs4Rh3
_cell_length_a 4.360
_cell_length_b 4.360
_cell_length_c 11.025
_cell_angle_alpha 90.00
_cell_angle_beta 90.00
_cell_angle_gamma 90.00
_space_group_name_H-M_alt 'P 1'
_space_group_IT_number 1
loop_
_space_group_symop_operation_xyz
'x,y,z'
loop_
_atom_site_label
_atom_site_type_symbol
_atom_site_fract_x
_atom_site_fract_y
_atom_site_fract_z
La1 La 0.500 0.000 0.223
La2 La 0.000 0.500 0.777
Np1 Np 0.500 0.500 0.500
As1 As 0.500 0.500 0.000
As2 As 0.000 0.000 0.000
As3 As 0.500 0.000 0.667
As4 As 0.000 0.500 0.333
Rh1 Rh 0.000 0.000 0.500
Rh2 Rh 0.500 0.000 0.893
Rh3 Rh 0.000 0.500 0.107



M_tot of number 2 (La2PrNpAs4)? 3.8 μB per formula unit



Among the records above, which one has the lowest calculated density? La2PrNpAs4



Which value of M_tot does entry 4 give? 3.7 μB per formula unit